Compound: Cu3GeIr
Source: Alexandria
Functional: PBE
Structure: relaxed

Results
The value obtained for the formation energy is 1.031 eV/atom. The volume is 16.38 Å³/atom. As for the energy relative to the lowest polymorph listed for this composition: 0 meV per atom. The size of the total moment comes out at 0.0000 μB per atom.

a = 4.3425 Å, b = 4.3425 Å, c = 4.3425 Å
α = 90.00°, β = 90.00°, γ = 90.00°
With the nearest neighbours (Å) after each atom.
Space group Pm-3m (No. 221)
Asymmetric unit:
Cu1 0.0000 0.0000 0.5000 x3  2 Ge 2.17
Ge1 0.0000 0.0000 0.0000 x1  6 Cu 2.17
Ir1 0.5000 0.5000 0.5000 x1  12 Cu 3.07

Compound: CuGeIr
Source: Alexandria
Functional: PBE
Structure: relaxed

Results
The value obtained for the formation energy is -0.053 eV/atom. The volume is 14.69 Å³/atom. As for the energy relative to the lowest polymorph listed for this composition: 0 meV per atom. The size of the total moment comes out at 0.0000 μB per atom.

a = 4.1721 Å, b = 4.1721 Å, c = 2.9243 Å
α = 90.00°, β = 90.00°, γ = 120.00°
With the nearest neighbours (Å) after each atom.
Space group P-6m2 (No. 187)
Asymmetric unit:
Cu1 0.0000 0.0000 0.0000 x1  6 Ge 2.82, 6 Ir 2.82, 2 Cu 2.92
Ge1 0.6667 0.3333 0.5000 x1  3 Ir 2.41
Ir1 0.3333 0.6667 0.5000 x1  3 Ge 2.41

Compound: CuGeIr3
Source: Alexandria
Functional: PBE
Structure: relaxed

Results
The value obtained for the formation energy is 1.304 eV/atom. The volume is 18.66 Å³/atom. As for the energy relative to the lowest polymorph listed for this composition: 0 meV per atom. The size of the total moment comes out at 0.0000 μB per atom.

a = 4.5354 Å, b = 4.5354 Å, c = 4.5354 Å
α = 90.00°, β = 90.00°, γ = 90.00°
With the nearest neighbours (Å) after each atom.
Space group Pm-3m (No. 221)
Asymmetric unit:
Cu1 0.0000 0.0000 0.0000 x1  12 Ir 3.21
Ge1 0.5000 0.5000 0.5000 x1  6 Ir 2.27
Ir1 0.0000 0.5000 0.5000 x3  2 Ge 2.27

Compound: La2Cu3Ge4Ir
Source: Alexandria
Functional: PBE
Structure: relaxed

Results
The value obtained for the formation energy is -0.571 eV/atom. The volume is 18.60 Å³/atom. The size of the total moment comes out at 0.0000 μB per atom.

a = 4.2557 Å, b = 4.2557 Å, c = 10.2687 Å
α = 90.00°, β = 90.00°, γ = 90.00°
With the nearest neighbours (Å) after each atom.
Space group P-4m2 (No. 115)
Asymmetric unit:
La1 0.0000 0.5000 0.2496 x2  8 Ge 3.25-3.34, 6 Cu 3.26-3.33, 2 Ir 3.33
Cu1 0.0000 0.0000 0.0000 x1  4 Ge 2.52
Cu2 0.0000 0.5000 0.6288 x2  5 Ge 2.47-2.51
Ge1 0.0000 0.0000 0.5000 x1  4 Cu 2.51
Ge2 0.0000 0.5000 0.8692 x2  3 Cu 2.47-2.52, 2 Ir 2.52
Ge3 0.5000 0.5000 0.5000 x1  4 Cu 2.51
Ir1 0.5000 0.5000 0.0000 x1  4 Ge 2.52

> Among the records above, which one has the highest formation energy?

CuGeIr3

> Which formula does entry 3 have?

CuGeIr3